Model i:
Entry from Alexandria: a relaxed structure of ZrBe3S (GGA-PBE).

Computed properties:
Space group ... Pm-3m (221)
Theoretical density ... 2.29 g cm⁻³
V ... 21.8 Å³/atom

abc: 4.7776 4.7776 4.7776
angles: 90.00 90.00 90.00
With the nearest neighbours (Å) after each atom.
Positions (direct):
Zr (0.0000, 0.0000, 0.0000)  6 Be 2.39
Be (0.0000, 0.0000, 0.5000)  2 Zr 2.39
Be (0.0000, 0.5000, 0.0000)  2 Zr 2.39
Be (0.5000, 0.0000, 0.0000)  2 Zr 2.39
S (0.5000, 0.5000, 0.5000)  12 Be 3.38

=====

Model ii:
Entry from Alexandria: a relaxed structure of ZrBe3S (GGA-PBE).

Computed properties:
Space group ... Pm-3m (221)
Theoretical density ... 3.58 g cm⁻³
V ... 14.0 Å³/atom

abc: 4.1167 4.1167 4.1167
angles: 90.00 90.00 90.00
With the nearest neighbours (Å) after each atom.
Positions (direct):
Zr (0.0000, 0.0000, 0.0000)  12 Be 2.91
Be (0.0000, 0.5000, 0.5000)  2 S 2.06
Be (0.5000, 0.0000, 0.5000)  2 S 2.06
Be (0.5000, 0.5000, 0.0000)  2 S 2.06
S (0.5000, 0.5000, 0.5000)  6 Be 2.06

=====

Quick one: most stable of them? model ii

=====

Model i:
Entry from Alexandria: a relaxed structure of ZrBeS3 (GGA-PBE).

Computed properties:
Space group ... Pm-3m (221)
Theoretical density ... 2.68 g cm⁻³
V ... 24.4 Å³/atom

abc: 4.9583 4.9583 4.9583
angles: 90.00 90.00 90.00
With the nearest neighbours (Å) after each atom.
Positions (direct):
Zr (0.0000, 0.0000, 0.0000)  6 S 2.48
Be (0.5000, 0.5000, 0.5000)  12 S 3.51
S (0.0000, 0.0000, 0.5000)  2 Zr 2.48
S (0.0000, 0.5000, 0.0000)  2 Zr 2.48
S (0.5000, 0.0000, 0.0000)  2 Zr 2.48

=====

Model ii:
Entry from Alexandria: a relaxed structure of ZrBeS3 (GGA-PBE).

Computed properties:
Space group ... Pm-3m (221)
Theoretical density ... 4.05 g cm⁻³
V ... 16.1 Å³/atom

abc: 4.3173 4.3173 4.3173
angles: 90.00 90.00 90.00
With the nearest neighbours (Å) after each atom.
Positions (direct):
Zr (0.0000, 0.0000, 0.0000)  12 S 3.05
Be (0.5000, 0.5000, 0.5000)  6 S 2.16
S (0.0000, 0.5000, 0.5000)  2 Be 2.16
S (0.5000, 0.0000, 0.5000)  2 Be 2.16
S (0.5000, 0.5000, 0.0000)  2 Be 2.16

=====

Quick one: most stable of them? model ii

=====

Model i:
Entry from Alexandria: a relaxed structure of BeSb3 (GGA-PBE).

Computed properties:
Space group ... Cmmm (65)
Theoretical density ... 6.56 g cm⁻³
V ... 23.7 Å³/atom

abc: 5.3505 5.3505 3.7536
angles: 90.00 90.00 118.10
With the nearest neighbours (Å) after each atom.
Positions (direct):
Be (0.0000, 0.0000, 0.0000)  6 Sb 2.55-2.75
Sb (0.1887, 0.8113, 0.5000)  2 Be 2.55
Sb (0.5000, 0.5000, 0.0000)  2 Be 2.75
Sb (0.8113, 0.1887, 0.5000)  2 Be 2.55

=====

Model ii:
Entry from Alexandria: a relaxed structure of BeSb3 (GGA-PBE).

Computed properties:
Space group ... Pm-3m (221)
Theoretical density ... 6.44 g cm⁻³
V ... 24.1 Å³/atom

abc: 4.5860 4.5860 4.5860
angles: 90.00 90.00 90.00
With the nearest neighbours (Å) after each atom.
Positions (direct):
Be (0.0000, 0.0000, 0.0000)  12 Sb 3.24
Sb (0.0000, 0.5000, 0.5000)  8 Sb 3.24, 4 Be 3.24
Sb (0.5000, 0.0000, 0.5000)  8 Sb 3.24, 4 Be 3.24
Sb (0.5000, 0.5000, 0.0000)  8 Sb 3.24, 4 Be 3.24

=====

Quick one: most stable of them? model i

=====

Model i:
Entry from Alexandria: a relaxed structure of BeSb3 (GGA-PBE).

Computed properties:
Space group ... Imm2 (44)
Theoretical density ... 5.87 g cm⁻³
V ... 26.5 Å³/atom

abc: 6.1173 6.1173 6.1173
angles: 144.85 66.60 125.41
With the nearest neighbours (Å) after each atom.
Positions (direct):
Be (0.0000, 0.0000, 0.0000)  6 Sb 2.59-2.60
Sb (0.3229, 0.8229, 0.5000)  2 Be 2.59
Sb (0.6632, 0.3076, 0.3556)  2 Be 2.60
Sb (0.9519, 0.3076, 0.6444)  2 Be 2.60

=====

Model ii:
Entry from Alexandria: a relaxed structure of BeSb3 (GGA-PBE).

Computed properties:
Space group ... C2/m (12)
Theoretical density ... 6.51 g cm⁻³
V ... 23.9 Å³/atom

abc: 4.0146 4.0146 7.2096
angles: 106.84 106.84 60.71
With the nearest neighbours (Å) after each atom.
Positions (direct):
Be (0.0000, 0.0000, 0.0000)  6 Sb 2.68-2.70
Sb (0.2687, 0.2687, 0.8024)  3 Be 2.68-2.70
Sb (0.5000, 0.5000, 0.5000)  6 Sb 3.10-3.11
Sb (0.7313, 0.7313, 0.1976)  3 Be 2.68-2.70

=====

Quick one: most stable of them? model ii

=====

Model i:
Entry from Alexandria: a relaxed structure of Be5Sb3 (GGA-PBE).

Computed properties:
Space group ... Cmmm (65)
Theoretical density ... 4.75 g cm⁻³
V ... 17.9 Å³/atom

abc: 7.4843 7.4843 3.9054
angles: 90.00 90.00 139.05
With the nearest neighbours (Å) after each atom.
Positions (direct):
Be (0.0000, 0.0000, 0.0000)  4 Be 2.21
Be (0.0000, 0.5000, 0.0000)  4 Sb 2.62, 2 Be 2.62
Be (0.1979, 0.1979, 0.5000)  3 Be 2.07-2.21
Be (0.5000, 0.0000, 0.0000)  4 Sb 2.62, 2 Be 2.62
Be (0.8021, 0.8021, 0.5000)  3 Be 2.07-2.21
Sb (0.1680, 0.8320, 0.5000)  6 Be 2.57-2.62
Sb (0.5000, 0.5000, 0.0000)  6 Be 2.51-2.62
Sb (0.8320, 0.1680, 0.5000)  6 Be 2.57-2.62

=====

Model ii:
Entry from Alexandria: a relaxed structure of Be5Sb3 (GGA-PBE).

Computed properties:
Space group ... P6_3/mcm (193)
Theoretical density ... 5.30 g cm⁻³
V ... 16.1 Å³/atom

abc: 8.4613 8.4613 4.1507
angles: 90.00 90.00 120.00
With the nearest neighbours (Å) after each atom.
Positions (direct):
Be (0.0000, 0.1494, 0.2500)  6 Be 2.19-2.43
Be (0.0000, 0.8506, 0.7500)  6 Be 2.19-2.43
Be (0.1494, 0.0000, 0.2500)  6 Be 2.19-2.43
Be (0.1494, 0.1494, 0.7500)  6 Be 2.19-2.43
Be (0.3333, 0.6667, 0.0000)  2 Be 2.08
Be (0.3333, 0.6667, 0.5000)  2 Be 2.08
Be (0.6667, 0.3333, 0.0000)  2 Be 2.08
Be (0.6667, 0.3333, 0.5000)  2 Be 2.08
Be (0.8506, 0.0000, 0.7500)  6 Be 2.19-2.43
Be (0.8506, 0.8506, 0.2500)  6 Be 2.19-2.43
Sb (0.0000, 0.3602, 0.7500)  8 Be 2.65-2.91
Sb (0.0000, 0.6398, 0.2500)  8 Be 2.65-2.91
Sb (0.3602, 0.0000, 0.7500)  8 Be 2.65-2.91
Sb (0.3602, 0.3602, 0.2500)  8 Be 2.65-2.91
Sb (0.6398, 0.0000, 0.2500)  8 Be 2.65-2.91
Sb (0.6398, 0.6398, 0.7500)  8 Be 2.65-2.91

=====

Quick one: most stable of them? model ii

=====

Model i:
Entry from Alexandria: a relaxed structure of Sc2BeSb2 (GGA-PBE).

Computed properties:
Space group ... P4/mbm (127)
Theoretical density ... 5.15 g cm⁻³
V ... 22.1 Å³/atom

abc: 7.3318 7.3318 4.1084
angles: 90.00 90.00 90.00
With the nearest neighbours (Å) after each atom.
Positions (direct):
Sc (0.1529, 0.3471, 0.0000)  2 Be 2.78, 6 Sb 2.82-3.09
Sc (0.3471, 0.8471, 0.0000)  2 Be 2.78, 6 Sb 2.82-3.09
Sc (0.6529, 0.1529, 0.0000)  2 Be 2.78, 6 Sb 2.82-3.09
Sc (0.8471, 0.6529, 0.0000)  2 Be 2.78, 6 Sb 2.82-3.09
Be (0.0000, 0.0000, 0.0000)  4 Sc 2.78
Be (0.5000, 0.5000, 0.0000)  4 Sc 2.78
Sb (0.1612, 0.6612, 0.5000)  6 Sc 2.82-3.09
Sb (0.3388, 0.1612, 0.5000)  6 Sc 2.82-3.09
Sb (0.6612, 0.8388, 0.5000)  6 Sc 2.82-3.09
Sb (0.8388, 0.3388, 0.5000)  6 Sc 2.82-3.09

=====

Model ii:
Entry from Alexandria: a relaxed structure of Sc2BeSb2 (GGA-PBE).

Computed properties:
Space group ... I4/mmm (139)
Theoretical density ... 4.56 g cm⁻³
V ... 24.9 Å³/atom

abc: 7.9193 7.9193 7.9193
angles: 149.89 149.89 43.10
With the nearest neighbours (Å) after each atom.
Positions (direct):
Sc (0.0993, 0.0993, 0.0000)  1 Sc 2.93, 4 Sb 3.03, 4 Be 3.26
Sc (0.9007, 0.9007, 0.0000)  1 Sc 2.93, 4 Sb 3.03, 4 Be 3.26
Be (0.5000, 0.5000, 0.0000)  8 Sc 3.26
Sb (0.2500, 0.7500, 0.5000)  4 Sb 2.91, 4 Sc 3.03
Sb (0.7500, 0.2500, 0.5000)  4 Sb 2.91, 4 Sc 3.03

=====

Quick one: most stable of them? model i

=====

Model i:
Entry from Alexandria: a relaxed structure of BeSbSe (GGA-PBE).

Computed properties:
Space group ... I4mm (107)
Theoretical density ... 5.56 g cm⁻³
V ... 20.9 Å³/atom

abc: 6.2396 6.2396 6.2396
angles: 149.45 149.45 43.76
With the nearest neighbours (Å) after each atom.
Positions (direct):
Be (0.0000, 0.0000, 0.0000)  4 Se 2.42
Sb (0.6842, 0.6842, 0.0000)  1 Se 2.79
Se (0.4434, 0.4434, 0.0000)  4 Be 2.42

=====

Model ii:
Entry from Alexandria: a relaxed structure of BeSbSe (GGA-PBE).

Computed properties:
Space group ... F-43m (216)
Theoretical density ... 5.47 g cm⁻³
V ... 21.2 Å³/atom

abc: 4.4814 4.4814 4.4814
angles: 60.00 60.00 60.00
With the nearest neighbours (Å) after each atom.
Positions (direct):
Be (0.0000, 0.0000, 0.0000)  4 Sb 2.74, 4 Se 2.74
Sb (0.7500, 0.7500, 0.7500)  4 Be 2.74
Se (0.2500, 0.2500, 0.2500)  4 Be 2.74

=====

Quick one: most stable of them? model i

=====

Model i:
Entry from Alexandria: a relaxed structure of BeSbSe (GGA-PBE).

Computed properties:
Space group ... C2/m (12)
Theoretical density ... 4.18 g cm⁻³
V ... 27.8 Å³/atom

abc: 3.8090 3.8090 13.4550
angles: 98.37 98.37 60.00
With the nearest neighbours (Å) after each atom.
Positions (direct):
Be (0.1460, 0.1460, 0.4394)  4 Se 2.30-2.31
Be (0.8540, 0.8540, 0.5606)  4 Se 2.30-2.31
Sb (0.3563, 0.3563, 0.0670)  3 Sb 2.83
Sb (0.6437, 0.6437, 0.9330)  3 Sb 2.83
Se (0.2053, 0.2053, 0.6129)  4 Be 2.30-2.31
Se (0.7947, 0.7947, 0.3871)  4 Be 2.30-2.31

=====

Model ii:
Entry from Alexandria: a relaxed structure of BeSbSe (GGA-PBE).

Computed properties:
Space group ... P3m1 (156)
Theoretical density ... 5.54 g cm⁻³
V ... 21.0 Å³/atom

abc: 3.4977 3.4977 5.9326
angles: 90.00 90.00 120.00
With the nearest neighbours (Å) after each atom.
Positions (direct):
Be (0.0000, 0.0000, 0.0000)  3 Se 2.19
Sb (0.6667, 0.3333, 0.3632)  3 Be 2.95
Se (0.3333, 0.6667, 0.8593)  3 Be 2.19

=====

Quick one: most stable of them? model i

=====

Model i:
Entry from Alexandria: a relaxed structure of BeSbSe (GGA-PBE).

Computed properties:
Space group ... Fmm2 (42)
Theoretical density ... 5.05 g cm⁻³
V ... 23.0 Å³/atom

abc: 6.7151 6.1364 3.7289
angles: 81.87 64.78 33.35
With the nearest neighbours (Å) after each atom.
Positions (direct):
Be (0.0000, 0.0000, 0.0000)  2 Se 2.14
Sb (0.6563, 0.6563, 0.3437)  2 Be 2.57
Se (0.4017, 0.4017, 0.5983)  2 Be 2.14

=====

Model ii:
Entry from Alexandria: a relaxed structure of BeSbSe (GGA-PBE).

Computed properties:
Space group ... F-43m (216)
Theoretical density ... 4.80 g cm⁻³
V ... 24.2 Å³/atom

abc: 4.6830 4.6830 4.6830
angles: 60.00 60.00 60.00
With the nearest neighbours (Å) after each atom.
Positions (direct):
Be (0.0000, 0.0000, 0.0000)  4 Sb 2.87
Sb (0.2500, 0.2500, 0.2500)  4 Se 2.87, 4 Be 2.87
Se (0.5000, 0.5000, 0.5000)  4 Sb 2.87

=====

Quick one: most stable of them? model i

=====

Model i:
Entry from Alexandria: a relaxed structure of Be2SbSe (GGA-PBE).

Computed properties:
Space group ... I-42d (122)
Theoretical density ... 4.56 g cm⁻³
V ... 19.9 Å³/atom

abc: 6.5571 6.5571 6.5571
angles: 130.53 130.53 72.56
With the nearest neighbours (Å) after each atom.
Positions (direct):
Be (0.0897, 0.6250, 0.9647)  2 Se 2.24, 2 Sb 2.47
Be (0.3750, 0.3397, 0.4647)  2 Se 2.24, 2 Sb 2.47
Be (0.6603, 0.1250, 0.0353)  2 Se 2.24, 2 Sb 2.47
Be (0.8750, 0.9103, 0.5353)  2 Se 2.24, 2 Sb 2.47
Sb (0.2500, 0.7500, 0.5000)  4 Be 2.47
Sb (0.5000, 0.5000, 0.0000)  4 Be 2.47
Se (0.0000, 0.0000, 0.0000)  4 Be 2.24
Se (0.7500, 0.2500, 0.5000)  4 Be 2.24

=====

Model ii:
Entry from Alexandria: a relaxed structure of Be2SbSe (GGA-PBE).

Computed properties:
Space group ... Cm (8)
Theoretical density ... 3.77 g cm⁻³
V ... 24.1 Å³/atom

abc: 7.8095 7.8095 3.8172
angles: 92.03 92.03 24.44
With the nearest neighbours (Å) after each atom.
Positions (direct):
Be (0.0000, 0.0000, 0.0000)  2 Se 2.13
Be (0.5740, 0.5740, 0.6466)  1 Se 2.16
Sb (0.1555, 0.1555, 0.1950)  3 Be 2.46-2.72
Se (0.4356, 0.4356, 0.7498)  3 Be 2.13-2.16

=====

Quick one: most stable of them? model i

=====

Model i:
Entry from Alexandria: a relaxed structure of Be2SbSe (GGA-PBE).

Computed properties:
Space group ... C2/m (12)
Theoretical density ... 5.04 g cm⁻³
V ... 18.0 Å³/atom

abc: 4.5986 4.5986 4.0263
angles: 108.60 108.60 101.52
With the nearest neighbours (Å) after each atom.
Positions (direct):
Be (0.0000, 0.5000, 0.0000)  2 Se 2.53, 2 Sb 2.53
Be (0.5000, 0.0000, 0.0000)  2 Se 2.53, 2 Sb 2.53
Sb (0.0000, 0.0000, 0.5000)  4 Be 2.53
Se (0.5000, 0.5000, 0.5000)  4 Be 2.53

=====

Model ii:
Entry from Alexandria: a relaxed structure of Be2SbSe (GGA-PBE).

Computed properties:
Space group ... Pmmm (47)
Theoretical density ... 4.60 g cm⁻³
V ... 19.7 Å³/atom

abc: 3.3725 3.5721 6.5528
angles: 90.00 90.00 90.00
With the nearest neighbours (Å) after each atom.
Positions (direct):
Be (0.0000, 0.0000, 0.0000)  4 Se 2.46
Be (0.0000, 0.5000, 0.5000)  4 Sb 2.46
Sb (0.5000, 0.0000, 0.5000)  4 Be 2.46
Se (0.5000, 0.5000, 0.0000)  4 Be 2.46

=====

Model iii:
Entry from Alexandria: a relaxed structure of Be2SbSe (GGA-PBE).

Computed properties:
Space group ... Cmmm (65)
Theoretical density ... 5.39 g cm⁻³
V ... 16.9 Å³/atom

abc: 4.4955 4.4955 3.3810
angles: 90.00 90.00 99.23
With the nearest neighbours (Å) after each atom.
Positions (direct):
Be (0.0000, 0.5000, 0.0000)  4 Se 2.81, 4 Sb 2.81, 2 Be 2.91
Be (0.5000, 0.0000, 0.0000)  4 Se 2.81, 4 Sb 2.81, 2 Be 2.91
Sb (0.0000, 0.0000, 0.5000)  8 Be 2.81, 2 Se 2.91
Se (0.5000, 0.5000, 0.5000)  8 Be 2.81, 2 Sb 2.91

=====

Model iv:
Entry from Alexandria: a relaxed structure of Be2SbSe (GGA-PBE).

Computed properties:
Space group ... Cmm2 (35)
Theoretical density ... 4.07 g cm⁻³
V ... 22.3 Å³/atom

abc: 3.5761 3.5761 7.5754
angles: 90.00 90.00 112.95
With the nearest neighbours (Å) after each atom.
Positions (direct):
Be (0.0000, 0.0000, 0.0000)  2 Se 2.23, 2 Be 2.28
Be (0.5000, 0.5000, 0.1506)  1 Se 2.17, 2 Be 2.28
Sb (0.0000, 0.0000, 0.3382)  3 Be 2.43-2.56
Se (0.5000, 0.5000, 0.8646)  3 Be 2.17-2.23

=====

Quick one: most stable of them? model iv

=====

Model i:
Entry from Alexandria: a relaxed structure of Be2SbSe (GGA-PBE).

Computed properties:
Space group ... P4/mmm (123)
Theoretical density ... 5.44 g cm⁻³
V ... 16.7 Å³/atom

abc: 4.5845 4.5845 3.1741
angles: 90.00 90.00 90.00
With the nearest neighbours (Å) after each atom.
Positions (direct):
Be (0.0000, 0.5000, 0.0000)  4 Se 2.79, 4 Sb 2.79
Be (0.5000, 0.0000, 0.0000)  4 Se 2.79, 4 Sb 2.79
Sb (0.0000, 0.0000, 0.5000)  8 Be 2.79
Se (0.5000, 0.5000, 0.5000)  8 Be 2.79

=====

Model ii:
Entry from Alexandria: a relaxed structure of Be2SbSe (GGA-PBE).

Computed properties:
Space group ... Immm (71)
Theoretical density ... 3.38 g cm⁻³
V ... 26.9 Å³/atom

abc: 6.0873 6.0873 6.0873
angles: 149.14 108.45 79.93
With the nearest neighbours (Å) after each atom.
Positions (direct):
Be (0.2165, 0.0000, 0.2165)  2 Se 2.24
Be (0.7835, 0.0000, 0.7835)  2 Se 2.24
Sb (0.5000, 0.5000, 0.0000)  4 Be 2.59
Se (0.0000, 0.5000, 0.5000)  4 Be 2.24

=====

Quick one: most stable of them? model ii

=====

Model i:
Entry from Alexandria: a relaxed structure of BeSbSe3 (GGA-PBE).

Computed properties:
Space group ... Pm-3m (221)
Theoretical density ... 6.03 g cm⁻³
V ... 20.2 Å³/atom

abc: 4.6598 4.6598 4.6598
angles: 90.00 90.00 90.00
With the nearest neighbours (Å) after each atom.
Positions (direct):
Be (0.0000, 0.0000, 0.0000)  6 Se 2.33
Sb (0.5000, 0.5000, 0.5000)  12 Se 3.29
Se (0.0000, 0.0000, 0.5000)  2 Be 2.33
Se (0.0000, 0.5000, 0.0000)  2 Be 2.33
Se (0.5000, 0.0000, 0.0000)  2 Be 2.33

=====

Model ii:
Entry from Alexandria: a relaxed structure of BeSbSe3 (GGA-PBE).

Computed properties:
Space group ... Pm-3m (221)
Theoretical density ... 4.13 g cm⁻³
V ... 29.5 Å³/atom

abc: 5.2854 5.2854 5.2854
angles: 90.00 90.00 90.00
With the nearest neighbours (Å) after each atom.
Positions (direct):
Be (0.0000, 0.0000, 0.0000)  12 Se 3.74
Sb (0.5000, 0.5000, 0.5000)  6 Se 2.64
Se (0.0000, 0.5000, 0.5000)  2 Sb 2.64
Se (0.5000, 0.0000, 0.5000)  2 Sb 2.64
Se (0.5000, 0.5000, 0.0000)  2 Sb 2.64

=====

Quick one: most stable of them? model i